# GGA-PBE CaAgAs4, optimized geometry
# **Energy of formation**: -72 meV/atom
# **N(E_F)**: 14.74 states/eV per cell
# **Total DFT energy (no corrections)**: -95.5 eV per cell
data_CaAgAs4
_space_group_name_H-M_alt 'F -4 3 m'
_space_group_IT_number 216
_space_group_name_Hall 'F -4 2 3'
_cell_length_a 8.007
_cell_length_b 8.007
_cell_length_c 8.007
_cell_angle_alpha 90.00
_cell_angle_beta 90.00
_cell_angle_gamma 90.00
loop_
_atom_site_label
_atom_site_fract_x
_atom_site_fract_y
_atom_site_fract_z
Ca1 0.000 0.000 0.000
Ag1 0.250 0.250 0.750
As1 0.123 0.123 0.377